Record 1
The following is a GGA-PBE calculation of crystalline YTaGeF2 at its relaxed geometry, from the Alexandria database.

Cell lengths 4.320, 4.320, 5.438 Å; angles 90.00, 90.00, 90.00 degrees
Space group P4/mmm (No. 123)
Inequivalent atoms, fractional coordinates:
Y (0.000, 0.000, 0.000) (multiplicity 1)
Ta (0.500, 0.500, 0.000) (multiplicity 1)
Ge (0.500, 0.500, 0.500) (multiplicity 1)
F (0.000, 0.500, 0.500) (multiplicity 2)

Calculated values
DFT total energy ... -5.8008 eV per atom



Record 2
The following is a GGA-PBE calculation of crystalline TbGeF at its relaxed geometry, from the Alexandria database.

Cell lengths 3.8585, 3.8585, 4.7923 Å; angles 90.00, 90.00, 120.00 degrees
Space group P-6m2 (No. 187)
Inequivalent atoms, fractional coordinates:
Tb (0.0000, 0.0000, 0.0000) (multiplicity 1)
Ge (0.3333, 0.6667, 0.5000) (multiplicity 1)
F (0.6667, 0.3333, 0.0000) (multiplicity 1)

Calculated values
Energy above the lowest structure with this stoichiometry ... 1.15 eV per formula unit



Record 3
The following is a GGA-PBE calculation of crystalline Tb2GeF at its relaxed geometry, from the Alexandria database.

Cell lengths 4.3655, 4.3655, 21.6615 Å; angles 90.00, 90.00, 120.00 degrees
Space group R-3m (No. 166, hexagonal axes)
Inequivalent atoms, fractional coordinates:
Tb (0.0000, 0.0000, 0.1022) (multiplicity 6)
Ge (0.0000, 0.0000, 0.5000) (multiplicity 3)
F (0.0000, 0.0000, 0.0000) (multiplicity 3)

Calculated values
DFT total energy ... -5.5943 eV per atom



Record 4
The following is a GGA-PBE calculation of crystalline TbGe2F8 at its relaxed geometry, from the Alexandria database.

Cell lengths 10.396, 5.126, 5.973 Å; angles 90.00, 95.37, 90.00 degrees
Space group C2/m (No. 12)
Inequivalent atoms, fractional coordinates:
Tb (0.000, 0.000, 0.000) (multiplicity 2)
Ge (0.240, 0.000, 0.635) (multiplicity 4)
F (0.100, 0.000, 0.337) (multiplicity 4)
F (0.108, 0.500, 0.170) (multiplicity 4)
F (0.148, 0.234, 0.802) (multiplicity 8)

Calculated values
DFT total energy ... -5.2785 eV per atom



Record 5
The following is a GGA-PBE calculation of crystalline TbGeF at its relaxed geometry, from the Alexandria database.

Cell lengths 3.973, 13.717, 3.861 Å; angles 90.00, 90.00, 90.00 degrees
Space group Cmcm (No. 63)
Inequivalent atoms, fractional coordinates:
Tb (0.000, 0.137, 0.250) (multiplicity 4)
Ge (0.000, 0.444, 0.250) (multiplicity 4)
F (0.000, 0.255, 0.750) (multiplicity 4)

Calculated values
Energy above the lowest structure with this stoichiometry ... 0.00 eV per formula unit



Record 6
The following is a GGA-PBE calculation of crystalline Tc2Ge2F at its relaxed geometry, from the Alexandria database.

Cell lengths 5.063, 5.063, 6.635 Å; angles 90.00, 90.00, 90.00 degrees
Space group I4/mmm (No. 139)
Inequivalent atoms, fractional coordinates:
Tc (0.000, 0.000, 0.165) (multiplicity 4)
Ge (0.000, 0.500, 0.250) (multiplicity 4)
F (0.000, 0.000, 0.500) (multiplicity 2)

Calculated values
Energy above the lowest structure with this stoichiometry ... 0.63 eV per formula unit



Record 7
The following is a GGA-PBE calculation of crystalline TcGeF3 at its relaxed geometry, from the Alexandria database.

Cell lengths 4.387, 4.387, 4.387 Å; angles 90.00, 90.00, 90.00 degrees
Space group Pm-3m (No. 221)
Inequivalent atoms, fractional coordinates:
Tc (0.000, 0.000, 0.000) (multiplicity 1)
Ge (0.500, 0.500, 0.500) (multiplicity 1)
F (0.000, 0.500, 0.500) (multiplicity 3)

Calculated values
Energy above the lowest structure with this stoichiometry ... 0.29 eV per formula unit



Record 8
The following is a GGA-PBE calculation of crystalline Tc2GeF at its relaxed geometry, from the Alexandria database.

Cell lengths 6.044, 6.044, 6.044 Å; angles 90.00, 90.00, 90.00 degrees
Space group Fm-3m (No. 225)
Inequivalent atoms, fractional coordinates:
Tc (0.250, 0.250, 0.250) (multiplicity 8)
Ge (0.000, 0.000, 0.000) (multiplicity 4)
F (0.000, 0.000, 0.500) (multiplicity 4)

Calculated values
Energy above the lowest structure with this stoichiometry ... 0.00 eV per formula unit



Record 9
The following is a GGA-PBE calculation of crystalline TcGe2F at its relaxed geometry, from the Alexandria database.

Cell lengths 6.247, 6.247, 6.247 Å; angles 90.00, 90.00, 90.00 degrees
Space group Fm-3m (No. 225)
Inequivalent atoms, fractional coordinates:
Tc (0.000, 0.000, 0.000) (multiplicity 4)
Ge (0.250, 0.250, 0.250) (multiplicity 8)
F (0.000, 0.000, 0.500) (multiplicity 4)

Calculated values
Energy above the lowest structure with this stoichiometry ... 0.16 eV per formula unit



Record 10
The following is a GGA-PBE calculation of crystalline TcGe2F at its relaxed geometry, from the Alexandria database.

Cell lengths 5.774, 5.774, 9.458 Å; angles 90.00, 90.00, 90.00 degrees
Space group I-42d (No. 122)
Inequivalent atoms, fractional coordinates:
Tc (0.000, 0.000, 0.000) (multiplicity 4)
Ge (0.248, 0.250, 0.625) (multiplicity 8)
F (0.000, 0.000, 0.500) (multiplicity 4)

Calculated values
Energy above the lowest structure with this stoichiometry ... 0.00 eV per formula unit



Record 11
The following is a GGA-PBE calculation of crystalline Tc2Ge2F at its relaxed geometry, from the Alexandria database.

Cell lengths 6.794, 6.794, 3.218 Å; angles 90.00, 90.00, 90.00 degrees
Space group P4/mbm (No. 127)
Inequivalent atoms, fractional coordinates:
Tc (0.152, 0.348, 0.000) (multiplicity 4)
Ge (0.144, 0.644, 0.500) (multiplicity 4)
F (0.000, 0.000, 0.000) (multiplicity 2)

Calculated values
Energy above the lowest structure with this stoichiometry ... 0.00 eV per formula unit



Record 12
The following is a GGA-PBE calculation of crystalline Tc2GeF at its relaxed geometry, from the Alexandria database.

Cell lengths 6.529, 6.529, 5.276 Å; angles 90.00, 90.00, 90.00 degrees
Space group I-42d (No. 122)
Inequivalent atoms, fractional coordinates:
Tc (0.198, 0.750, 0.125) (multiplicity 8)
Ge (0.000, 0.000, 0.500) (multiplicity 4)
F (0.000, 0.000, 0.000) (multiplicity 4)

Calculated values
Energy above the lowest structure with this stoichiometry ... 0.75 eV per formula unit